Entry 1:
# Ca2LuCd PBE relaxed
# Excess energy over the best structure of this formula in the dataset in meV per atom: 8
# N(E_F) in states/eV/atom: 1.287
# Formation energy in eV/atom: -0.027
data_Ca2LuCd
_space_group_name_H-M_alt 'P 4/m m m'
_space_group_IT_number 123
_space_group_name_Hall '-P 4 2'
_cell_length_a 4.885
_cell_length_b 4.885
_cell_length_c 5.176
_cell_angle_alpha 90.00
_cell_angle_beta 90.00
_cell_angle_gamma 90.00
loop_
_atom_site_label
_atom_site_type_symbol
_atom_site_fract_x
_atom_site_fract_y
_atom_site_fract_z
Ca1 Ca 0.000 0.500 0.000
Lu1 Lu 0.000 0.000 0.500
Cd1 Cd 0.500 0.500 0.500

---

Entry 2:
# Zn3SeF PBE relaxed
# Formation energy (no corrections) in kJ/mol of atoms: -75.4
# Excess energy over the best structure of this formula in the dataset in meV per atom: 27
# N(E_F) in states/eV/atom: 0.316
data_Zn3SeF
_space_group_name_H-M_alt 'P 1'
_space_group_IT_number 1
_cell_length_a 3.920
_cell_length_b 6.383
_cell_length_c 7.989
_cell_angle_alpha 75.80
_cell_angle_beta 84.47
_cell_angle_gamma 89.95
loop_
_space_group_symop_operation_xyz
'x,y,z'
loop_
_atom_site_label
_atom_site_type_symbol
_atom_site_fract_x
_atom_site_fract_y
_atom_site_fract_z
Zn1 Zn 0.000 0.000 0.000
Zn2 Zn 0.008 0.753 0.750
Zn3 Zn 0.455 0.963 0.231
Zn4 Zn 0.494 0.749 0.987
Zn5 Zn 0.590 0.267 0.597
Zn6 Zn 0.944 0.267 0.192
Se1 Se 0.057 0.343 0.759
Se2 Se 0.527 0.898 0.549
F1 F 0.417 0.435 0.099
F2 F 0.813 0.432 0.364

---

Entry 3:
# ScAl2Ir PBE relaxed
# N(E_F) in states/eV/atom: 0.468
# Formation energy in eV/atom: -0.612
data_ScAl2Ir
_space_group_name_H-M_alt 'P 1 2/m 1'
_space_group_IT_number 10
_cell_length_a 3.038
_cell_length_b 4.386
_cell_length_c 5.133
_cell_angle_alpha 90.00
_cell_angle_beta 99.00
_cell_angle_gamma 90.00
loop_
_space_group_symop_operation_xyz
'x,y,z'
'-x,-y,-z'
'-x,y,-z'
'x,-y,z'
loop_
_atom_site_label
_atom_site_type_symbol
_atom_site_fract_x
_atom_site_fract_y
_atom_site_fract_z
Sc1 Sc 0.000 0.000 0.000
Al1 Al 0.381 0.500 0.736
Ir1 Ir 0.500 0.000 0.500

---

Entry 4:
# Tm2Pa2Os3 PBE relaxed
# N(E_F) in states/eV/atom: 0.723
# Formation energy in eV/atom: -0.300
data_Tm2Pa2Os3
_space_group_name_H-M_alt 'C 1 2/m 1'
_space_group_IT_number 12
_cell_length_a 13.238
_cell_length_b 4.743
_cell_length_c 5.167
_cell_angle_alpha 90.00
_cell_angle_beta 94.20
_cell_angle_gamma 90.00
loop_
_space_group_symop_operation_xyz
'x,y,z'
'-x,-y,-z'
'-x,y,-z'
'x,-y,z'
'x+1/2,y+1/2,z'
'-x+1/2,-y+1/2,-z'
'-x+1/2,y+1/2,-z'
'x+1/2,-y+1/2,z'
loop_
_atom_site_label
_atom_site_type_symbol
_atom_site_fract_x
_atom_site_fract_y
_atom_site_fract_z
Tm1 Tm 0.092 0.000 0.309
Pa1 Pa 0.157 0.500 0.842
Os1 Os 0.000 0.500 0.500
Os2 Os 0.222 0.500 0.315